Record 1
Crystalline TbPr2TmTe5 at its relaxed geometry. Source: the Alexandria database, functional PBE-GGA.

Cell lengths 5.4864, 5.4864, 11.5625 Å; angles 90.00, 90.00, 90.00 degrees
Last column: nearest neighbours and their distance in Å.
Fractional positions:
Tb 0.0000 0.0000 0.0000  2 Te 2.86
Pr 0.5000 0.5000 0.3317  4 Te 3.36
Pr 0.5000 0.5000 0.6683  4 Te 3.36
Tm 0.0000 0.0000 0.5000  6 Te 2.74-2.92
Te 0.0000 0.0000 0.2471  1 Tb 2.86, 1 Tm 2.92
Te 0.0000 0.0000 0.7529  1 Tb 2.86, 1 Tm 2.92
Te 0.0000 0.5000 0.5000  2 Tm 2.74
Te 0.5000 0.0000 0.5000  2 Tm 2.74
Te 0.5000 0.5000 0.0000  2 Pr 3.84, 4 Tb 3.88

symmetry	P4/mmm
total energy	-42.01	eV/f.u.
spin magnetization	0.43	μB per formula unit
raw formation energy	-849	meV/atom

***

Record 2
Crystalline Tb2PrTmTe6 at its relaxed geometry. Source: the Alexandria database, functional PBE-GGA.

Cell lengths 8.3692, 8.3692, 8.3692 Å; angles 55.36, 55.36, 55.36 degrees
Last column: nearest neighbours and their distance in Å.
Fractional positions:
Tb 0.0000 0.0000 0.0000  6 Te 3.09-3.12
Tb 0.4972 0.4972 0.4972  6 Te 3.07-3.13
Pr 0.3087 0.3087 0.3087  6 Te 3.16-3.23
Tm 0.8124 0.8124 0.8124  6 Te 3.05-3.08
Te 0.0879 0.4093 0.7240  1 Tm 3.05, 2 Tb 3.09-3.13, 1 Pr 3.23
Te 0.2165 0.8914 0.6063  2 Tb 3.07-3.12, 1 Tm 3.08, 1 Pr 3.16
Te 0.4093 0.7240 0.0879  1 Tm 3.05, 2 Tb 3.09-3.13, 1 Pr 3.23
Te 0.6063 0.2165 0.8914  2 Tb 3.07-3.12, 1 Tm 3.08, 1 Pr 3.16
Te 0.7240 0.0879 0.4093  1 Tm 3.05, 2 Tb 3.09-3.13, 1 Pr 3.23
Te 0.8914 0.6063 0.2165  2 Tb 3.07-3.12, 1 Tm 3.08, 1 Pr 3.16

symmetry	R3
total energy	-50.96	eV/f.u.
spin magnetization	0.00	μB per formula unit
raw formation energy	-1360	meV/atom

***

Record 3
Crystalline Tb3Pr4TmTe8 at its relaxed geometry. Source: the Alexandria database, functional PBE-GGA.

Cell lengths 9.0033, 9.0033, 9.0033 Å; angles 58.35, 58.35, 58.35 degrees
Last column: nearest neighbours and their distance in Å.
Fractional positions:
Tb 0.0000 0.5000 0.5000  6 Te 3.08-3.09
Tb 0.5000 0.0000 0.5000  6 Te 3.08-3.09
Tb 0.5000 0.5000 0.0000  6 Te 3.08-3.09
Pr 0.0000 0.0000 0.5000  6 Te 3.20
Pr 0.0000 0.5000 0.0000  6 Te 3.20
Pr 0.5000 0.0000 0.0000  6 Te 3.20
Pr 0.5000 0.5000 0.5000  6 Te 3.23
Tm 0.0000 0.0000 0.0000  6 Te 3.05
Te 0.2431 0.2431 0.7480  1 Tm 3.05, 2 Tb 3.09, 3 Pr 3.20-3.23
Te 0.2431 0.7480 0.2431  1 Tm 3.05, 2 Tb 3.09, 3 Pr 3.20-3.23
Te 0.2520 0.7569 0.7569  1 Tm 3.05, 2 Tb 3.09, 3 Pr 3.20-3.23
Te 0.2545 0.2545 0.2545  3 Tb 3.08, 3 Pr 3.20
Te 0.7455 0.7455 0.7455  3 Tb 3.08, 3 Pr 3.20
Te 0.7480 0.2431 0.2431  1 Tm 3.05, 2 Tb 3.09, 3 Pr 3.20-3.23
Te 0.7569 0.2520 0.7569  1 Tm 3.05, 2 Tb 3.09, 3 Pr 3.20-3.23
Te 0.7569 0.7569 0.2520  1 Tm 3.05, 2 Tb 3.09, 3 Pr 3.20-3.23

symmetry	R-3m
total energy	-84.37	eV/f.u.
spin magnetization	0.00	μB per formula unit
raw formation energy	-1360	meV/atom

***

> spin magnetization of number 3 (Tb3Pr4TmTe8)?

0.00 μB per formula unit

***

> Which value of raw formation energy does entry 3 give?

-1360 meV/atom